Entry from Alexandria: a relaxed Sn2As2Br crystal (PBE-GGA).

abc: 4.2157 4.2157 8.2399
angles: 75.18 75.18 90.00
Element x y z (fractional)
Sn: 0.3847 0.3847 0.2306
Sn: 0.6153 0.6153 0.7694
Br: 0.0000 0.0000 0.0000
As: 0.2500 0.7500 0.5000
As: 0.7500 0.2500 0.5000

- polymorph energy (0 for the lowest one) (meV per atom) = 20
- formation energy from raw total energies (eV per atom) = -0.13
- E_tot (eV/atom) = -3.928
- space group = I4/mmm, No. 139
- calculated volume (Å³/cell) = 137

=====

Entry from Alexandria: a relaxed Sn2As2Br crystal (PBE-GGA).

abc: 8.5913 8.5913 3.6971
angles: 90.00 90.00 90.00
Element x y z (fractional)
As: 0.6054 0.8946 0.5000
As: 0.8946 0.3946 0.5000
As: 0.3946 0.1054 0.5000
As: 0.1054 0.6054 0.5000
Br: 0.0000 0.0000 0.0000
Br: 0.5000 0.5000 0.0000
Sn: 0.8385 0.6615 0.0000
Sn: 0.6615 0.1615 0.0000
Sn: 0.3385 0.8385 0.0000
Sn: 0.1615 0.3385 0.0000

- polymorph energy (0 for the lowest one) (meV per atom) = 159
- formation energy from raw total energies (eV per atom) = 0.01
- E_tot (eV/atom) = -3.789
- space group = P4/mbm, No. 127
- calculated volume (Å³/cell) = 273

=====

Entry from Alexandria: a relaxed Sn2As2Br crystal (PBE-GGA).

abc: 5.4252 5.4252 5.9976
angles: 63.11 63.11 90.00
Element x y z (fractional)
Br: 0.0000 0.0000 0.0000
As: 0.6324 0.6324 0.7353
As: 0.3676 0.3676 0.2647
Sn: 0.7500 0.2500 0.5000
Sn: 0.2500 0.7500 0.5000

- polymorph energy (0 for the lowest one) (meV per atom) = 0
- formation energy from raw total energies (eV per atom) = -0.15
- E_tot (eV/atom) = -3.948
- space group = I4/mmm, No. 139
- calculated volume (Å³/cell) = 136

=====

Entry from Alexandria: a relaxed Sn4As2Br3 crystal (PBE-GGA).

abc: 4.2075 7.8717 10.5389
angles: 117.43 90.00 105.50
Element x y z (fractional)
Br: 0.0000 0.0000 0.0000
Br: 0.6178 0.2357 0.4331
Br: 0.3822 0.7643 0.5669
Sn: 0.3700 0.7400 0.0994
Sn: 0.2058 0.4117 0.2943
Sn: 0.6300 0.2600 0.9006
Sn: 0.7942 0.5883 0.7057
As: 0.7838 0.5676 0.1835
As: 0.2162 0.4324 0.8165

- formation energy from raw total energies (eV per atom) = -0.33
- E_tot (eV/atom) = -3.700
- space group = C2/m, No. 12
- calculated volume (Å³/cell) = 295

=====

Entry from Alexandria: a relaxed SnAsBr2 crystal (PBE-GGA).

abc: 4.8158 4.8158 10.3476
angles: 76.54 76.54 90.00
Element x y z (fractional)
Br: 0.3750 0.3899 0.7500
Br: 0.8750 0.8601 0.7500
Br: 0.1399 0.6250 0.2500
Br: 0.6101 0.1250 0.2500
Sn: 0.0000 0.0000 0.0000
Sn: 0.7500 0.2500 0.5000
As: 0.2500 0.7500 0.5000
As: 0.5000 0.5000 0.0000

- polymorph energy (0 for the lowest one) (meV per atom) = 0
- formation energy from raw total energies (eV per atom) = 0.05
- E_tot (eV/atom) = -2.952
- space group = I-42d, No. 122
- calculated volume (Å³/cell) = 227

=====

Entry from Alexandria: a relaxed SrSnAsBr2 crystal (PBE-GGA).

abc: 5.6542 5.6542 6.2755
angles: 90.00 90.00 90.00
Last column: magnetic moment on the atom in μB.
Element x y z (fractional)
As: 0.0000 0.0000 0.5000  0.53
Br: 0.5000 0.0000 0.0000  0.02
Br: 0.0000 0.5000 0.0000  0.02
Sn: 0.5000 0.5000 0.5000  -0.13
Sr: 0.0000 0.0000 0.0000  0.02

- polymorph energy (0 for the lowest one) (meV per atom) = 269
- formation energy from raw total energies (eV per atom) = -0.35
- E_tot (eV/atom) = -3.084
- space group = P4/mmm, No. 123
- calculated volume (Å³/cell) = 201

=====

Entry from Alexandria: a relaxed SrSnAsBr2 crystal (PBE-GGA).

abc: 5.6285 5.6285 5.3538
angles: 90.00 90.00 90.00
Element x y z (fractional)
Br: 0.0000 0.5000 0.0000
Br: 0.5000 0.0000 0.0000
Sr: 0.5000 0.5000 0.5000
Sn: 0.0000 0.0000 0.0000
As: 0.0000 0.0000 0.5000

- polymorph energy (0 for the lowest one) (meV per atom) = 0
- formation energy from raw total energies (eV per atom) = -0.62
- E_tot (eV/atom) = -3.352
- space group = P4/mmm, No. 123
- calculated volume (Å³/cell) = 170

=====

Entry from Alexandria: a relaxed TcSnAsBr2 crystal (PBE-GGA).

abc: 5.2273 5.2273 4.7769
angles: 90.00 90.00 90.00
Last column: magnetic moment on the atom in μB.
Element x y z (fractional)
Br: 0.5000 0.0000 0.0000  0.01
Br: 0.0000 0.5000 0.0000  0.01
Tc: 0.0000 0.0000 0.0000  0.68
Sn: 0.5000 0.5000 0.5000  0.06
As: 0.0000 0.0000 0.5000  -0.02

- polymorph energy (0 for the lowest one) (meV per atom) = 0
- formation energy from raw total energies (eV per atom) = 0.32
- E_tot (eV/atom) = -4.154
- space group = P4/mmm, No. 123
- calculated volume (Å³/cell) = 131

=====

Entry from Alexandria: a relaxed SnTeAs2Br crystal (PBE-GGA).

abc: 5.3849 5.3849 5.2266
angles: 90.00 90.00 90.00
Element x y z (fractional)
Br: 0.0000 0.0000 0.5000
As: 0.0000 0.5000 0.0000
As: 0.5000 0.0000 0.0000
Sn: 0.0000 0.0000 0.0000
Te: 0.5000 0.5000 0.5000

- polymorph energy (0 for the lowest one) (meV per atom) = 0
- formation energy from raw total energies (eV per atom) = 0.60
- E_tot (eV/atom) = -3.026
- space group = P4/mmm, No. 123
- calculated volume (Å³/cell) = 152

=====

Entry from Alexandria: a relaxed SnTeAsBr2 crystal (PBE-GGA).

abc: 5.3722 5.3722 5.7756
angles: 90.00 90.00 90.00
Last column: magnetic moment on the atom in μB.
Element x y z (fractional)
Br: 0.0000 0.5000 0.0000  0.04
Br: 0.5000 0.0000 0.0000  0.04
As: 0.0000 0.0000 0.5000  -0.22
Sn: 0.0000 0.0000 0.0000  -0.01
Te: 0.5000 0.5000 0.5000  0.52

- polymorph energy (0 for the lowest one) (meV per atom) = 0
- formation energy from raw total energies (eV per atom) = 0.29
- E_tot (eV/atom) = -2.742
- space group = P4/mmm, No. 123
- calculated volume (Å³/cell) = 167

=====

Entry from Alexandria: a relaxed TiSnAs2Br crystal (PBE-GGA).

abc: 4.9472 4.9472 5.1735
angles: 90.00 90.00 90.00
Element x y z (fractional)
Br: 0.0000 0.0000 0.5000
As: 0.0000 0.5000 0.0000
As: 0.5000 0.0000 0.0000
Ti: 0.0000 0.0000 0.0000
Sn: 0.5000 0.5000 0.5000

- polymorph energy (0 for the lowest one) (meV per atom) = 0
- formation energy from raw total energies (eV per atom) = -0.10
- E_tot (eV/atom) = -4.672
- space group = P4/mmm, No. 123
- calculated volume (Å³/cell) = 127

=====

Entry from Alexandria: a relaxed TiSnAs2Br crystal (PBE-GGA).

abc: 4.8103 4.8103 5.7095
angles: 90.00 90.00 90.00
Element x y z (fractional)
Sn: 0.0000 0.0000 0.5000
Br: 0.5000 0.5000 0.5000
As: 0.5000 0.0000 0.0000
As: 0.0000 0.5000 0.0000
Ti: 0.0000 0.0000 0.0000

- polymorph energy (0 for the lowest one) (meV per atom) = 30
- formation energy from raw total energies (eV per atom) = -0.07
- E_tot (eV/atom) = -4.642
- space group = P4/mmm, No. 123
- calculated volume (Å³/cell) = 132

=====

Entry from Alexandria: a relaxed TiSnAsBr2 crystal (PBE-GGA).

abc: 5.0109 5.0109 5.2227
angles: 90.00 90.00 90.00
Element x y z (fractional)
Br: 0.5000 0.0000 0.0000
Br: 0.0000 0.5000 0.0000
Ti: 0.0000 0.0000 0.0000
As: 0.0000 0.0000 0.5000
Sn: 0.5000 0.5000 0.5000

- polymorph energy (0 for the lowest one) (meV per atom) = 0
- formation energy from raw total energies (eV per atom) = -0.26
- E_tot (eV/atom) = -4.238
- space group = P4/mmm, No. 123
- calculated volume (Å³/cell) = 131

=====

Entry from Alexandria: a relaxed VSnAsBr2 crystal (PBE-GGA).

abc: 5.0513 5.0513 5.0851
angles: 90.00 90.00 90.00
Last column: magnetic moment on the atom in μB.
Element x y z (fractional)
As: 0.0000 0.0000 0.5000  -0.19
Br: 0.5000 0.0000 0.0000  -0.01
Br: 0.0000 0.5000 0.0000  -0.01
Sn: 0.5000 0.5000 0.5000  0.05
V: 0.0000 0.0000 0.0000  2.04

- polymorph energy (0 for the lowest one) (meV per atom) = 0
- formation energy from raw total energies (eV per atom) = -0.04
- E_tot (eV/atom) = -4.263
- space group = P4/mmm, No. 123
- calculated volume (Å³/cell) = 130

=====

Entry from Alexandria: a relaxed SnAs2WBr crystal (PBE-GGA).

abc: 4.8699 4.8699 5.4591
angles: 90.00 90.00 90.00
Last column: magnetic moment on the atom in μB.
Element x y z (fractional)
As: 0.5000 0.0000 0.0000  -0.02
As: 0.0000 0.5000 0.0000  -0.02
Br: 0.0000 0.0000 0.5000  0.02
W: 0.0000 0.0000 0.0000  0.41
Sn: 0.5000 0.5000 0.5000  0.02

- polymorph energy (0 for the lowest one) (meV per atom) = 0
- formation energy from raw total energies (eV per atom) = 0.45
- E_tot (eV/atom) = -5.131
- space group = P4/mmm, No. 123
- calculated volume (Å³/cell) = 129

=====

Entry from Alexandria: a relaxed YSnAs2Br crystal (PBE-GGA).

abc: 5.4926 5.4926 5.4121
angles: 90.00 90.00 90.00
Element x y z (fractional)
As: 0.0000 0.5000 0.0000
As: 0.5000 0.0000 0.0000
Y: 0.0000 0.0000 0.0000
Sn: 0.5000 0.5000 0.5000
Br: 0.0000 0.0000 0.5000

- polymorph energy (0 for the lowest one) (meV per atom) = 0
- formation energy from raw total energies (eV per atom) = -0.10
- E_tot (eV/atom) = -4.384
- space group = P4/mmm, No. 123
- calculated volume (Å³/cell) = 163

=====

Entry from Alexandria: a relaxed YSnAs2Br crystal (PBE-GGA).

abc: 5.2378 5.2378 5.3277
angles: 90.00 90.00 90.00
Element x y z (fractional)
As: 0.0000 0.5000 0.0000
As: 0.5000 0.0000 0.0000
Sn: 0.0000 0.0000 0.0000
Y: 0.5000 0.5000 0.5000
Br: 0.0000 0.0000 0.5000

- polymorph energy (0 for the lowest one) (meV per atom) = 151
- formation energy from raw total energies (eV per atom) = 0.06
- E_tot (eV/atom) = -4.233
- space group = P4/mmm, No. 123
- calculated volume (Å³/cell) = 146

=====

Entry from Alexandria: a relaxed ZnSnAsBr2 crystal (PBE-GGA).

abc: 5.0685 5.0685 5.1644
angles: 90.00 90.00 90.00
Element x y z (fractional)
As: 0.0000 0.0000 0.5000
Br: 0.5000 0.0000 0.0000
Br: 0.0000 0.5000 0.0000
Sn: 0.5000 0.5000 0.5000
Zn: 0.0000 0.0000 0.0000

- polymorph energy (0 for the lowest one) (meV per atom) = 0
- formation energy from raw total energies (eV per atom) = 0.04
- E_tot (eV/atom) = -2.616
- space group = P4/mmm, No. 123
- calculated volume (Å³/cell) = 133

=====

Entry from Alexandria: a relaxed ZnSnAsBr2 crystal (PBE-GGA).

abc: 5.6497 5.6497 5.5880
angles: 90.00 90.00 90.00
Last column: magnetic moment on the atom in μB.
Element x y z (fractional)
Zn: 0.5000 0.5000 0.5000  0.05
Sn: 0.0000 0.0000 0.0000  0.03
Br: 0.5000 0.0000 0.0000  0.05
Br: 0.0000 0.5000 0.0000  0.05
As: 0.0000 0.0000 0.5000  0.75

- polymorph energy (0 for the lowest one) (meV per atom) = 161
- formation energy from raw total energies (eV per atom) = 0.20
- E_tot (eV/atom) = -2.455
- space group = P4/mmm, No. 123
- calculated volume (Å³/cell) = 178

=====

Entry from Alexandria: a relaxed Zn2SnAsBr crystal (PBE-GGA).

abc: 5.3225 5.5811 5.3225
angles: 90.00 90.00 90.00
Last column: magnetic moment on the atom in μB.
Element x y z (fractional)
Zn: 0.5000 0.0000 0.0000  0.01
Zn: 0.0000 0.0000 0.5000  -0.03
As: 0.5000 0.5000 0.5000  0.93
Sn: 0.0000 0.0000 0.0000  0.00
Br: 0.0000 0.5000 0.0000  0.10

- formation energy from raw total energies (eV per atom) = 0.56
- E_tot (eV/atom) = -2.017
- space group = P4/mmm, No. 123
- calculated volume (Å³/cell) = 158